Material: BeTc2S
Method: DFT, GGA-PBEsol
State: optimized geometry

a b c (Å): 8.5176 8.5176 8.5176
angles (deg): 155.46 155.46 34.97
Atoms (fractional coordinates):
Be1 0.0000 0.0000 0.0000
Be2 0.7500 0.2500 0.5000
Tc1 0.1140 0.6250 0.9890
Tc2 0.3750 0.3640 0.4890
Tc3 0.6360 0.1250 0.0110
Tc4 0.8750 0.8860 0.5110
S1 0.2500 0.7500 0.5000
S2 0.5000 0.5000 0.0000

Computed properties:
The value obtained for the raw formation energy is 355 meV/atom. The total magnetization comes out at 0.0 μB/cell. The density is 7.40 g/cm3. Its total energy is -7.374 eV/atom.